Record 1
## CsRbAgI3 (PBE)

Data for CsRbAgI3 after structural relaxation.

Summary:
Uncorrected formation energy in eV per atom: -1.093
Density in g cm⁻³: 3.772
Space-group type: P2_1/m

Cell lengths 11.177, 5.002, 11.303 Å; angles 90.00, 100.00, 90.00 degrees
Positions (direct):
Cs 0.177 0.250 0.220
Cs 0.823 0.750 0.780
Rb 0.349 0.750 0.843
Rb 0.651 0.250 0.157
Ag 0.081 0.250 0.600
Ag 0.919 0.750 0.400
I 0.101 0.250 0.851
I 0.177 0.750 0.515
I 0.418 0.750 0.171
I 0.582 0.250 0.829
I 0.823 0.250 0.485
I 0.899 0.750 0.149

=====

Record 2
## MgBe17Ni (PBE)

Data for MgBe17Ni after structural relaxation.

Summary:
Density in g cm⁻³: 2.335
DFT formation energy in meV per atom: 11
Space-group type: R3m

Cell lengths 5.567, 5.567, 5.567 Å; angles 82.01, 82.01, 82.01 degrees
Positions (direct):
Mg 0.000 0.000 0.000
Be 0.031 0.345 0.639
Be 0.031 0.639 0.345
Be 0.196 0.676 0.675
Be 0.241 0.241 0.241
Be 0.334 0.334 0.842
Be 0.334 0.842 0.334
Be 0.345 0.031 0.639
Be 0.345 0.639 0.031
Be 0.436 0.436 0.436
Be 0.507 0.994 0.994
Be 0.639 0.031 0.345
Be 0.639 0.345 0.031
Be 0.675 0.196 0.675
Be 0.675 0.675 0.196
Be 0.842 0.334 0.334
Be 0.994 0.507 0.994
Be 0.994 0.994 0.507
Ni 0.644 0.644 0.644

=====

Record 3
## Al2OsPb (PBE)

Data for Al2OsPb after structural relaxation.

Summary:
Density in g cm⁻³: 10.012
DFT formation energy in meV per atom: 203
Space-group type: Amm2

Cell lengths 4.347, 5.366, 5.366 Å; angles 36.73, 90.00, 90.00 degrees
Positions (direct):
Al 0.000 0.000 0.000
Al 0.500 0.422 0.422
Os 0.500 0.120 0.120
Pb 0.000 0.735 0.735

=====

Record 4
## TaCdMo (PBE)

Data for TaCdMo after structural relaxation.

Summary:
Density in g cm⁻³: 11.950
DFT formation energy in meV per atom: 337
Offset from the most stable computed form in meV/atom: 115
Space-group type: I4mm

Cell lengths 7.352, 7.352, 7.352 Å; angles 158.34, 158.34, 30.82 degrees
Positions (direct):
Ta 0.000 0.000 0.000
Cd 0.329 0.329 0.000
Mo 0.664 0.664 0.000

=====

Record 5
## Sc2CdOs (PBE)

Data for Sc2CdOs after structural relaxation.

Summary:
Density in g cm⁻³: 6.722
DFT formation energy in meV per atom: 396
Space-group type: Immm

Cell lengths 7.442, 7.442, 7.442 Å; angles 155.80, 144.88, 43.11 degrees
Positions (direct):
Sc 0.173 0.173 0.000
Sc 0.827 0.827 0.000
Cd 0.500 0.500 0.000
Os 0.000 0.000 0.000

=====

Record 6
## SrAl2Ga2Ag (PBE)

Data for SrAl2Ga2Ag after structural relaxation.

Summary:
Density in g cm⁻³: 5.024
DFT formation energy in meV per atom: -213
Space-group type: P-3m1

Cell lengths 4.405, 4.405, 7.648 Å; angles 90.00, 90.00, 120.00 degrees
Positions (direct):
Sr 0.000 0.000 0.000
Al 0.333 0.667 0.658
Al 0.667 0.333 0.342
Ga 0.333 0.667 0.259
Ga 0.667 0.333 0.741
Ag 0.000 0.000 0.500

=====

Record 7
## ScAgPdF2 (PBE)

Data for ScAgPdF2 after structural relaxation.

Summary:
Uncorrected formation energy in eV per atom: -1.756
Density in g cm⁻³: 5.277
Space-group type: P4/mmm

Cell lengths 3.943, 3.943, 6.015 Å; angles 90.00, 90.00, 90.00 degrees
Positions (direct):
Sc 0.000 0.000 0.000
Ag 0.000 0.000 0.500
Pd 0.500 0.500 0.500
F 0.000 0.500 0.000
F 0.500 0.000 0.000

=====

Record 8
## FeAsSe (PBE)

Data for FeAsSe after structural relaxation.

Summary:
Uncorrected formation energy in eV per atom: 0.630
Density in g cm⁻³: 5.750
Space-group type: F-43m

Cell lengths 4.408, 4.408, 4.408 Å; angles 60.00, 60.00, 60.00 degrees
Positions (direct):
Fe 0.000 0.000 0.000
As 0.750 0.750 0.750
Se 0.500 0.500 0.500

=====

Record 9
## Th3GaNi8 (PBE)

Data for Th3GaNi8 after structural relaxation.

Summary:
Density in g cm⁻³: 10.832
DFT formation energy in meV per atom: -416
Space-group type: R3m

Cell lengths 8.861, 8.861, 8.861 Å; angles 33.56, 33.56, 33.56 degrees
Positions (direct):
Th 0.000 0.000 0.000
Th 0.130 0.130 0.130
Th 0.607 0.607 0.607
Ga 0.480 0.480 0.480
Ni 0.056 0.056 0.566
Ni 0.056 0.566 0.056
Ni 0.057 0.560 0.560
Ni 0.309 0.309 0.309
Ni 0.560 0.057 0.560
Ni 0.560 0.560 0.057
Ni 0.566 0.056 0.056
Ni 0.810 0.810 0.810

=====

Record 10
## BW2CI (PBE)

Data for BW2CI after structural relaxation.

Summary:
Uncorrected formation energy in eV per atom: 1.230
Density in g cm⁻³: 12.967
Space-group type: P4/mmm

Cell lengths 4.591, 4.591, 3.144 Å; angles 90.00, 90.00, 90.00 degrees
Positions (direct):
B 0.000 0.000 0.000
W 0.000 0.500 0.500
W 0.500 0.000 0.500
C 0.000 0.000 0.500
I 0.500 0.500 0.000

=====

Record 11
## Ca2ZnPt2 (PBE)

Data for Ca2ZnPt2 after structural relaxation.

Summary:
Density in g cm⁻³: 8.253
DFT formation energy in meV per atom: -887
Space-group type: C2/c

Cell lengths 5.708, 5.708, 7.971 Å; angles 102.06, 102.06, 58.78 degrees
Positions (direct):
Ca 0.009 0.290 0.149
Ca 0.290 0.009 0.649
Ca 0.710 0.991 0.351
Ca 0.991 0.710 0.851
Zn 0.376 0.624 0.250
Zn 0.624 0.376 0.750
Pt 0.230 0.505 0.493
Pt 0.495 0.770 0.007
Pt 0.505 0.230 0.993
Pt 0.770 0.495 0.507

=====

Record 12
## NaPaIr2O8 (PBE)

Data for NaPaIr2O8 after structural relaxation.

Summary:
Uncorrected formation energy in eV per atom: -1.167
Density in g cm⁻³: 6.057
Space-group type: P-3

Cell lengths 5.776, 5.776, 7.273 Å; angles 90.00, 90.00, 120.00 degrees
Positions (direct):
Na 0.000 0.000 0.000
Pa 0.000 0.000 0.500
Ir 0.333 0.667 0.449
Ir 0.667 0.333 0.551
O 0.079 0.380 0.622
O 0.301 0.921 0.622
O 0.333 0.667 0.203
O 0.380 0.301 0.378
O 0.620 0.699 0.622
O 0.667 0.333 0.797
O 0.699 0.079 0.378
O 0.921 0.620 0.378